(1)
{"formula": "Ce2SiRh2", "functional": "PBE", "state": "optimized geometry", "magnetic_moment_mub_per_atom": 0.079, "n_ef_per_ev_atom": 1.25, "formation_energy_uncorrected_ev_per_atom": -0.754, "sg": "No. 72", "lattice": [[6.8632, 0.0000, 0.0000], [0.0000, 6.1545, 0.0000], [-3.4316, -3.0772, 5.2288]], "species": ["Rh", "Ce", "Rh", "Ce", "Si", "Ce", "Ce", "Rh", "Rh", "Si"], "fractional_positions": [[0.3858, 0.5940, 0.7716], [0.8522, 0.6728, 0.7044], [0.1142, 0.8224, 0.2284], [0.6478, 0.9684, 0.2956], [0.2500, 0.5000, 0.0000], [0.1478, 0.3272, 0.2956], [0.3522, 0.0316, 0.7044], [0.8858, 0.1776, 0.7716], [0.6142, 0.4060, 0.2284], [0.7500, 0.5000, 0.0000]]}

---

(2)
{"formula": "CeSi3Rh2", "functional": "PBE", "state": "optimized geometry", "magnetic_moment_mub_per_atom": 0.163, "de_polymorph_mev_per_atom": 0.0, "n_ef_per_ev_atom": 1.22, "formation_energy_uncorrected_ev_per_atom": -0.766, "sg": "No. 63", "lattice": [[-1.9354, 5.0836, 0.5062], [0.6981, -0.3406, 6.0896], [5.3620, 2.2386, -1.9810]], "species": ["Si", "Rh", "Si", "Rh", "Ce", "Si", "Si", "Ce", "Rh", "Si", "Si", "Rh"], "fractional_positions": [[0.7500, 0.1132, 0.4597], [0.0000, 0.7921, 0.2079], [0.7500, 0.4597, 0.1132], [0.0000, 0.2079, 0.7921], [0.2500, 0.3317, 0.3317], [0.2500, 0.5403, 0.8868], [0.7500, 0.0560, 0.0560], [0.7500, 0.6683, 0.6683], [0.5000, 0.7921, 0.2079], [0.2500, 0.9440, 0.9440], [0.2500, 0.8868, 0.5403], [0.5000, 0.2079, 0.7921]]}

---

(3)
{"formula": "Ce4SiRh12", "functional": "PBE", "state": "optimized geometry", "magnetic_moment_mub_per_atom": 0.000, "n_ef_per_ev_atom": 0.89, "formation_energy_uncorrected_ev_per_atom": -0.731, "sg": "No. 229", "lattice": [[7.1929, 0.0000, 0.0000], [-2.3976, 6.7815, 0.0000], [-2.3976, -3.3908, 5.8730]], "species": ["Rh", "Si", "Rh", "Rh", "Rh", "Rh", "Rh", "Ce", "Rh", "Ce", "Rh", "Rh", "Ce", "Rh", "Ce", "Rh", "Rh"], "fractional_positions": [[0.5000, 0.2500, 0.7500], [0.0000, 0.0000, 0.0000], [0.2786, 0.0000, 0.2786], [0.2500, 0.7500, 0.5000], [0.2500, 0.5000, 0.7500], [0.7214, 0.7214, 0.0000], [0.2786, 0.2786, 0.0000], [0.0000, 0.5000, 0.0000], [0.0000, 0.7214, 0.7214], [0.5000, 0.0000, 0.0000], [0.0000, 0.2786, 0.2786], [0.7214, 0.0000, 0.7214], [0.5000, 0.5000, 0.5000], [0.7500, 0.5000, 0.2500], [0.0000, 0.0000, 0.5000], [0.7500, 0.2500, 0.5000], [0.5000, 0.7500, 0.2500]]}

---

(4)
{"formula": "Ce2Si7Rh15", "functional": "PBE", "state": "optimized geometry", "magnetic_moment_mub_per_atom": 0.004, "n_ef_per_ev_atom": 0.57, "formation_energy_uncorrected_ev_per_atom": -0.871, "sg": "No. 221", "lattice": [[-4.7406, 4.7173, 5.8948], [5.8924, -2.0401, 6.3712], [4.7203, 7.2843, -2.0331]], "species": ["Rh", "Rh", "Si", "Ce", "Rh", "Rh", "Rh", "Rh", "Rh", "Rh", "Si", "Si", "Si", "Rh", "Si", "Rh", "Si", "Rh", "Rh", "Si", "Rh", "Rh", "Si", "Rh", "Rh", "Si", "Ce", "Rh", "Si", "Si", "Si", "Rh", "Rh", "Rh", "Rh", "Rh", "Si", "Rh", "Ce", "Rh", "Rh", "Rh", "Rh", "Si", "Ce", "Rh", "Rh", "Rh"], "fractional_positions": [[0.5000, 0.7374, 0.7374], [0.3229, 0.3229, 0.0000], [0.2128, 0.7872, 0.2128], [0.5000, 0.5000, 0.5000], [0.6771, 0.3229, 0.0000], [0.3229, 0.0000, 0.6771], [0.7741, 0.0000, 0.0000], [0.7374, 0.2626, 0.5000], [0.0000, 0.0000, 0.2259], [0.2626, 0.2626, 0.5000], [0.5000, 0.8650, 0.5000], [0.7872, 0.2128, 0.2128], [0.7872, 0.7872, 0.2128], [0.0000, 0.6771, 0.6771], [0.5000, 0.5000, 0.8650], [0.6771, 0.6771, 0.0000], [0.5000, 0.5000, 0.1350], [0.6771, 0.0000, 0.3229], [0.2626, 0.7374, 0.5000], [0.2128, 0.2128, 0.7872], [0.0000, 0.2259, 0.0000], [0.0000, 0.0000, 0.7741], [0.2128, 0.7872, 0.7872], [0.7374, 0.7374, 0.5000], [0.0000, 0.3229, 0.3229], [0.7872, 0.2128, 0.7872], [0.0000, 0.0000, 0.5000], [0.3229, 0.6771, 0.0000], [0.2128, 0.2128, 0.2128], [0.5000, 0.1350, 0.5000], [0.1350, 0.5000, 0.5000], [0.7374, 0.5000, 0.2626], [0.2259, 0.0000, 0.0000], [0.5000, 0.2626, 0.2626], [0.3229, 0.0000, 0.3229], [0.2626, 0.5000, 0.2626], [0.8650, 0.5000, 0.5000], [0.0000, 0.6771, 0.3229], [0.5000, 0.0000, 0.0000], [0.5000, 0.2626, 0.7374], [0.6771, 0.0000, 0.6771], [0.7374, 0.5000, 0.7374], [0.0000, 0.3229, 0.6771], [0.7872, 0.7872, 0.7872], [0.0000, 0.5000, 0.0000], [0.5000, 0.7374, 0.2626], [0.0000, 0.7741, 0.0000], [0.2626, 0.5000, 0.7374]]}

---

(5)
{"formula": "Ce5SiRh", "functional": "PBE", "state": "optimized geometry", "magnetic_moment_mub_per_atom": 0.390, "n_ef_per_ev_atom": 2.81, "formation_energy_uncorrected_ev_per_atom": -0.309, "sg": "No. 15", "lattice": [[-3.0320, -4.8685, -1.2255], [2.1079, -3.2626, 4.3943], [-7.3330, 4.4212, 5.4434]], "species": ["Ce", "Ce", "Si", "Ce", "Ce", "Ce", "Si", "Ce", "Ce", "Ce", "Ce", "Rh", "Ce", "Rh"], "fractional_positions": [[0.2217, 0.5037, 0.4711], [0.5320, 0.9962, 0.6400], [0.5256, 0.4744, 0.2500], [0.9188, 0.0812, 0.2500], [0.4963, 0.7783, 0.0289], [0.4680, 0.0038, 0.3600], [0.4744, 0.5256, 0.7500], [0.0812, 0.9188, 0.7500], [0.5037, 0.2217, 0.9711], [0.0038, 0.4680, 0.8600], [0.9962, 0.5320, 0.1400], [0.0000, 0.0000, 0.5000], [0.7783, 0.4963, 0.5289], [0.0000, 0.0000, 0.0000]]}

---

(6)
{"formula": "Ce3SiRh3", "functional": "PBE", "state": "optimized geometry", "magnetic_moment_mub_per_atom": 0.116, "n_ef_per_ev_atom": 1.71, "formation_energy_uncorrected_ev_per_atom": -0.593, "sg": "No. 160", "lattice": [[-3.5559, 2.2146, -3.4545], [-2.9612, -1.6880, 4.8107], [4.0277, 4.0966, 1.3252]], "species": ["Ce", "Rh", "Ce", "Ce", "Rh", "Si", "Rh"], "fractional_positions": [[0.5826, 0.6079, 0.6079], [0.4832, 0.4275, 0.0000], [0.9746, 0.0000, 0.3921], [0.9746, 0.3921, 0.0000], [0.4832, 0.0000, 0.4275], [0.4210, 0.0000, 0.0000], [0.0557, 0.5725, 0.5725]]}

---

> What is the formula in the sixth record?

Ce3SiRh3

---

Please write out number 4 again, unchanged.
{"formula": "Ce2Si7Rh15", "functional": "PBE", "state": "optimized geometry", "magnetic_moment_mub_per_atom": 0.004, "n_ef_per_ev_atom": 0.57, "formation_energy_uncorrected_ev_per_atom": -0.871, "sg": "No. 221", "lattice": [[-4.7406, 4.7173, 5.8948], [5.8924, -2.0401, 6.3712], [4.7203, 7.2843, -2.0331]], "species": ["Rh", "Rh", "Si", "Ce", "Rh", "Rh", "Rh", "Rh", "Rh", "Rh", "Si", "Si", "Si", "Rh", "Si", "Rh", "Si", "Rh", "Rh", "Si", "Rh", "Rh", "Si", "Rh", "Rh", "Si", "Ce", "Rh", "Si", "Si", "Si", "Rh", "Rh", "Rh", "Rh", "Rh", "Si", "Rh", "Ce", "Rh", "Rh", "Rh", "Rh", "Si", "Ce", "Rh", "Rh", "Rh"], "fractional_positions": [[0.5000, 0.7374, 0.7374], [0.3229, 0.3229, 0.0000], [0.2128, 0.7872, 0.2128], [0.5000, 0.5000, 0.5000], [0.6771, 0.3229, 0.0000], [0.3229, 0.0000, 0.6771], [0.7741, 0.0000, 0.0000], [0.7374, 0.2626, 0.5000], [0.0000, 0.0000, 0.2259], [0.2626, 0.2626, 0.5000], [0.5000, 0.8650, 0.5000], [0.7872, 0.2128, 0.2128], [0.7872, 0.7872, 0.2128], [0.0000, 0.6771, 0.6771], [0.5000, 0.5000, 0.8650], [0.6771, 0.6771, 0.0000], [0.5000, 0.5000, 0.1350], [0.6771, 0.0000, 0.3229], [0.2626, 0.7374, 0.5000], [0.2128, 0.2128, 0.7872], [0.0000, 0.2259, 0.0000], [0.0000, 0.0000, 0.7741], [0.2128, 0.7872, 0.7872], [0.7374, 0.7374, 0.5000], [0.0000, 0.3229, 0.3229], [0.7872, 0.2128, 0.7872], [0.0000, 0.0000, 0.5000], [0.3229, 0.6771, 0.0000], [0.2128, 0.2128, 0.2128], [0.5000, 0.1350, 0.5000], [0.1350, 0.5000, 0.5000], [0.7374, 0.5000, 0.2626], [0.2259, 0.0000, 0.0000], [0.5000, 0.2626, 0.2626], [0.3229, 0.0000, 0.3229], [0.2626, 0.5000, 0.2626], [0.8650, 0.5000, 0.5000], [0.0000, 0.6771, 0.3229], [0.5000, 0.0000, 0.0000], [0.5000, 0.2626, 0.7374], [0.6771, 0.0000, 0.6771], [0.7374, 0.5000, 0.7374], [0.0000, 0.3229, 0.6771], [0.7872, 0.7872, 0.7872], [0.0000, 0.5000, 0.0000], [0.5000, 0.7374, 0.2626], [0.0000, 0.7741, 0.0000], [0.2626, 0.5000, 0.7374]]}